DFT (PBE) results for a relaxed structure of Ti8GaC6.

Output
* spin magnetization: 0.00 μB/f.u.
* ρ: 4.742 g/cm³
* formation enthalpy at 0 K: -9.92 eV per formula unit

Lattice parameters (Å, degrees): 8.2576 8.2576 3.1112 90.00 90.00 120.00
Space group P-3 (No. 147)
Unique sites:
Ti (0.0327, 0.6682, 0.2477) x6
Ti (0.3333, 0.6667, 0.7487) x2
Ga (0.0000, 0.0000, 0.0000) x1
C (0.1417, 0.4775, 0.2520) x6